{"formula": "Tb8ZnTc2", "functional": "PBE", "state": "optimized geometry", "cell": [[4.371, -6.480, 0.000], [4.371, 6.480, 0.000], [-1.455, 0.000, 5.375]], "species": ["Tb", "Tb", "Tb", "Tb", "Tb", "Tb", "Tb", "Tb", "Zn", "Tc", "Tc"], "frac_coords": [[0.000, 0.000, 0.000], [0.046, 0.310, 0.611], [0.136, 0.615, 0.194], [0.310, 0.046, 0.611], [0.442, 0.705, 0.779], [0.615, 0.136, 0.194], [0.705, 0.442, 0.779], [0.756, 0.756, 0.391], [0.379, 0.379, 0.169], [0.062, 0.690, 0.696], [0.690, 0.062, 0.696]], "total_energy_ev_per_atom": -5.3874, "magmom_total_mub_per_fu": 0.000, "delta_e_f_kj_per_mol_fu": -21}